Compound: K3PmO3
Source: the Alexandria database
Functional: GGA-PBE
Structure: relaxed

Cell lengths 7.235, 7.235, 7.098 Å; angles 93.13, 93.13, 116.91 degrees
Atoms (fractional coordinates):
K  0.213  0.787  0.000
K  0.257  0.743  0.500
K  0.362  0.362  0.134
K  0.638  0.638  0.866
K  0.743  0.257  0.500
K  0.787  0.213  0.000
Pm  0.190  0.190  0.647
Pm  0.810  0.810  0.353
O  0.104  0.104  0.328
O  0.185  0.473  0.768
O  0.473  0.185  0.768
O  0.527  0.815  0.232
O  0.815  0.527  0.232
O  0.896  0.896  0.672

Output
polymorph energy (0 for the lowest one): 46.4 meV per atom
formation energy without anion corrections: -1.871 eV per atom



Compound: YGe2BMo
Source: the Alexandria database
Functional: GGA-PBE
Structure: relaxed

Cell lengths 4.345, 4.345, 4.728 Å; angles 90.00, 90.00, 90.00 degrees
Atoms (fractional coordinates):
Y  0.000  0.000  0.000
Ge  0.000  0.500  0.500
Ge  0.500  0.000  0.500
B  0.000  0.000  0.500
Mo  0.500  0.500  0.000

Output
DFT total energy: -0.4385 Ry per atom



Compound: ReBN2O
Source: the Alexandria database
Functional: GGA-PBE
Structure: relaxed

Cell lengths 3.552, 3.552, 3.037 Å; angles 90.00, 90.00, 90.00 degrees
Atoms (fractional coordinates):
Re  0.000  0.000  0.000
B  0.500  0.500  0.500
N  0.000  0.500  0.500
N  0.500  0.000  0.500
O  0.500  0.500  0.000

Output
formation energy without anion corrections: 0.867 eV per atom



Compound: Ac4TlBi12
Source: the Alexandria database
Functional: GGA-PBE
Structure: relaxed

Cell lengths 9.096, 9.096, 9.096 Å; angles 109.47, 109.47, 109.47 degrees
Atoms (fractional coordinates):
Ac  0.000  0.000  0.500
Ac  0.000  0.500  0.000
Ac  0.500  0.000  0.000
Ac  0.500  0.500  0.500
Tl  0.000  0.000  0.000
Bi  0.000  0.291  0.291
Bi  0.000  0.709  0.709
Bi  0.250  0.500  0.750
Bi  0.250  0.750  0.500
Bi  0.291  0.000  0.291
Bi  0.291  0.291  0.000
Bi  0.500  0.250  0.750
Bi  0.500  0.750  0.250
Bi  0.709  0.000  0.709
Bi  0.709  0.709  0.000
Bi  0.750  0.250  0.500
Bi  0.750  0.500  0.250

Output
DFT total energy: -0.3115 Ry per atom



Compound: KPt2Br
Source: the Alexandria database
Functional: GGA-PBE
Structure: relaxed

Cell lengths 3.530, 3.530, 7.732 Å; angles 90.00, 90.00, 90.00 degrees
Atoms (fractional coordinates):
K  0.000  0.000  0.000
Pt  0.000  0.000  0.442
Pt  0.500  0.500  0.344
Br  0.500  0.500  0.746

Output
polymorph energy (0 for the lowest one): 77.2 meV per atom
formation energy without anion corrections: -0.117 eV per atom



Compound: Lu3Al5Te12
Source: the Alexandria database
Functional: GGA-PBE
Structure: relaxed

Cell lengths 14.750, 14.750, 14.750 Å; angles 109.47, 109.47, 109.47 degrees
Atoms (fractional coordinates):
Lu  0.125  0.250  0.375
Lu  0.125  0.375  0.750
Lu  0.250  0.375  0.125
Lu  0.250  0.875  0.625
Lu  0.375  0.125  0.250
Lu  0.375  0.750  0.125
Lu  0.625  0.250  0.875
Lu  0.625  0.875  0.750
Lu  0.750  0.125  0.375
Lu  0.750  0.625  0.875
Lu  0.875  0.625  0.250
Lu  0.875  0.750  0.625
Al  0.000  0.000  0.000
Al  0.000  0.000  0.500
Al  0.000  0.500  0.000
Al  0.000  0.500  0.500
Al  0.125  0.750  0.875
Al  0.125  0.875  0.250
Al  0.250  0.125  0.875
Al  0.250  0.625  0.375
Al  0.375  0.250  0.625
Al  0.375  0.625  0.750
Al  0.500  0.000  0.000
Al  0.500  0.000  0.500
Al  0.500  0.500  0.000
Al  0.500  0.500  0.500
Al  0.625  0.375  0.250
Al  0.625  0.750  0.375
Al  0.750  0.375  0.625
Al  0.750  0.875  0.125
Al  0.875  0.125  0.750
Al  0.875  0.250  0.125
Te  0.037  0.212  0.126
Te  0.037  0.325  0.911
Te  0.086  0.712  0.675
Te  0.086  0.874  0.411
Te  0.089  0.626  0.414
Te  0.089  0.963  0.675
Te  0.126  0.037  0.212
Te  0.126  0.589  0.914
Te  0.175  0.212  0.586
Te  0.175  0.463  0.589
Te  0.212  0.126  0.037
Te  0.212  0.586  0.175
Te  0.288  0.325  0.914
Te  0.288  0.463  0.374
Te  0.325  0.911  0.037
Te  0.325  0.914  0.288
Te  0.374  0.288  0.463
Te  0.374  0.586  0.911
Te  0.411  0.086  0.874
Te  0.411  0.825  0.537
Te  0.414  0.089  0.626
Te  0.414  0.825  0.788
Te  0.463  0.374  0.288
Te  0.463  0.589  0.175
Te  0.537  0.411  0.825
Te  0.537  0.626  0.712
Te  0.586  0.175  0.212
Te  0.586  0.911  0.374
Te  0.589  0.175  0.463
Te  0.589  0.914  0.126
Te  0.626  0.414  0.089
Te  0.626  0.712  0.537
Te  0.675  0.086  0.712
Te  0.675  0.089  0.963
Te  0.712  0.537  0.626
Te  0.712  0.675  0.086
Te  0.788  0.414  0.825
Te  0.788  0.874  0.963
Te  0.825  0.537  0.411
Te  0.825  0.788  0.414
Te  0.874  0.411  0.086
Te  0.874  0.963  0.788
Te  0.911  0.037  0.325
Te  0.911  0.374  0.586
Te  0.914  0.126  0.589
Te  0.914  0.288  0.325
Te  0.963  0.675  0.089
Te  0.963  0.788  0.874

Output
formation energy without anion corrections: -0.672 eV per atom



Compound: PmDy4Tm4
Source: the Alexandria database
Functional: GGA-PBE
Structure: relaxed

Cell lengths 7.896, 7.896, 7.896 Å; angles 95.69, 95.69, 143.28 degrees
Atoms (fractional coordinates):
Pm  0.000  0.000  0.000
Dy  0.000  0.333  0.333
Dy  0.000  0.667  0.667
Dy  0.333  0.000  0.333
Dy  0.667  0.000  0.667
Tm  0.333  0.333  0.665
Tm  0.333  0.667  0.000
Tm  0.667  0.333  0.000
Tm  0.667  0.667  0.335

Output
DFT total energy: -0.3335 Ry per atom



Compound: Dy3Tl3VSe8
Source: the Alexandria database
Functional: GGA-PBE
Structure: relaxed

Cell lengths 9.089, 9.089, 9.089 Å; angles 52.88, 52.88, 52.88 degrees
Atoms (fractional coordinates):
Dy  0.000  0.500  0.500
Dy  0.500  0.000  0.500
Dy  0.500  0.500  0.000
Tl  0.000  0.000  0.500
Tl  0.000  0.500  0.000
Tl  0.500  0.000  0.000
V  0.000  0.000  0.000
Se  0.217  0.217  0.760
Se  0.217  0.760  0.217
Se  0.240  0.783  0.783
Se  0.264  0.264  0.264
Se  0.736  0.736  0.736
Se  0.760  0.217  0.217
Se  0.783  0.240  0.783
Se  0.783  0.783  0.240

Output
formation energy without anion corrections: -1.180 eV per atom



Compound: Na8I4Br3
Source: the Alexandria database
Functional: GGA-PBE
Structure: relaxed

Cell lengths 8.917, 8.917, 8.895 Å; angles 119.84, 119.84, 90.09 degrees
Atoms (fractional coordinates):
Na  0.243  0.757  0.000
Na  0.248  0.248  0.007
Na  0.249  0.249  0.486
Na  0.255  0.745  0.500
Na  0.745  0.255  0.500
Na  0.751  0.751  0.514
Na  0.752  0.752  0.993
Na  0.757  0.243  0.000
I  0.000  0.000  0.500
I  0.000  0.500  0.500
I  0.500  0.000  0.500
I  0.500  0.500  0.000
Br  0.000  0.000  0.000
Br  0.000  0.500  0.000
Br  0.500  0.000  0.000

Output
formation energy without anion corrections: -1.230 eV per atom



Compound: Cs3LaAg2I9
Source: the Alexandria database
Functional: GGA-PBE
Structure: relaxed

Cell lengths 8.579, 8.579, 10.691 Å; angles 90.00, 90.00, 120.00 degrees
Atoms (fractional coordinates):
Cs  0.000  0.000  0.000
Cs  0.333  0.667  0.686
Cs  0.667  0.333  0.314
La  0.000  0.000  0.500
Ag  0.333  0.667  0.148
Ag  0.667  0.333  0.852
I  0.000  0.500  0.000
I  0.172  0.343  0.328
I  0.172  0.828  0.328
I  0.343  0.172  0.672
I  0.500  0.000  0.000
I  0.500  0.500  0.000
I  0.657  0.828  0.328
I  0.828  0.172  0.672
I  0.828  0.657  0.672

Output
formation energy without anion corrections: -1.068 eV per atom



Compound: Fe2RuS2
Source: the Alexandria database
Functional: GGA-PBE
Structure: relaxed

Cell lengths 3.610, 3.610, 10.238 Å; angles 90.00, 90.00, 90.00 degrees
Atoms (fractional coordinates):
Fe  0.000  0.500  0.250
Fe  0.000  0.500  0.750
Fe  0.500  0.000  0.250
Fe  0.500  0.000  0.750
Ru  0.000  0.000  0.000
Ru  0.500  0.500  0.500
S  0.000  0.000  0.365
S  0.000  0.000  0.635
S  0.500  0.500  0.135
S  0.500  0.500  0.865

Output
polymorph energy (0 for the lowest one): 153.5 meV per atom
formation energy without anion corrections: 0.217 eV per atom



Compound: SrOsRu
Source: the Alexandria database
Functional: GGA-PBE
Structure: relaxed

Cell lengths 6.517, 6.517, 6.517 Å; angles 90.00, 90.00, 90.00 degrees
Atoms (fractional coordinates):
Sr  0.000  0.000  0.000
Sr  0.000  0.500  0.500
Sr  0.500  0.000  0.500
Sr  0.500  0.500  0.000
Os  0.250  0.250  0.750
Os  0.250  0.750  0.250
Os  0.750  0.250  0.250
Os  0.750  0.750  0.750
Ru  0.250  0.250  0.250
Ru  0.250  0.750  0.750
Ru  0.750  0.250  0.750
Ru  0.750  0.750  0.250

Output
polymorph energy (0 for the lowest one): 2055.9 meV per atom